# 1
First-principles (SCAN) data for Cu2As2Pd at its PBEsol-relaxed geometry, as listed in Alexandria via LeMat-Bulk.

a b c (Å): 3.727 3.727 6.204
angles (deg): 107.48 107.48 90.00
Positions (direct):
As  0.250  0.750  0.500
As  0.750  0.250  0.500
Cu  0.398  0.398  0.797
Cu  0.602  0.602  0.203
Pd  0.000  0.000  0.000

Values from the calculation:
energy of formation	269	meV/atom
volume	15.6	Å³ per atom
symmetry	I4/mmm, No. 139

***

# 2
First-principles (SCAN) data for Li2SiAg at its PBEsol-relaxed geometry, as listed in Alexandria via LeMat-Bulk.

a b c (Å): 3.580 3.980 4.858
angles (deg): 114.19 111.62 90.00
Positions (direct):
Si  0.000  0.500  0.000
Ag  0.500  0.000  0.000
Li  0.749  0.749  0.499
Li  0.251  0.251  0.501

Values from the calculation:
volume	14.4	Å³ per atom
ΔE_f (raw)	-15	kJ per mole of atoms
symmetry	Immm, No. 71

***

# 3
First-principles (SCAN) data for W2BrCl at its PBEsol-relaxed geometry, as listed in Alexandria via LeMat-Bulk.

a b c (Å): 2.996 2.996 9.564
angles (deg): 80.99 80.99 60.00
Positions (direct):
Br  0.483  0.483  0.551
W  0.000  0.000  0.000
W  0.747  0.747  0.759
Cl  0.270  0.270  0.190

Values from the calculation:
volume	18.3	Å³ per atom
ΔE_f (raw)	32	kJ per mole of atoms
symmetry	R3m, No. 160

***

# 4
First-principles (SCAN) data for La2RhAu at its PBEsol-relaxed geometry, as listed in Alexandria via LeMat-Bulk.

a b c (Å): 4.048 4.515 5.736
angles (deg): 90.00 110.67 90.00
Positions (direct):
Au  0.545  0.500  0.090
Rh  0.727  0.000  0.454
La  0.976  0.000  0.953
La  0.260  0.500  0.520

Values from the calculation:
energy of formation	-948	meV/atom
volume	24.5	Å³ per atom
symmetry	Amm2, No. 38

***

# 5
First-principles (SCAN) data for Nb2Al at its PBEsol-relaxed geometry, as listed in Alexandria via LeMat-Bulk.

a b c (Å): 5.145 9.904 9.904
angles (deg): 90.00 90.00 90.00
Positions (direct):
Nb  0.000  0.396  0.396
Nb  0.500  0.896  0.104
Nb  0.500  0.104  0.896
Nb  0.000  0.604  0.604
Nb  0.000  0.128  0.465
Nb  0.500  0.965  0.372
Nb  0.500  0.035  0.628
Nb  0.000  0.872  0.535
Nb  0.500  0.372  0.965
Nb  0.500  0.628  0.035
Nb  0.000  0.465  0.128
Nb  0.000  0.535  0.872
Nb  0.253  0.182  0.182
Nb  0.753  0.682  0.318
Nb  0.753  0.318  0.682
Nb  0.253  0.818  0.818
Nb  0.247  0.318  0.682
Nb  0.247  0.682  0.318
Nb  0.747  0.182  0.182
Nb  0.747  0.818  0.818
Al  0.000  0.000  0.000
Al  0.500  0.500  0.500
Al  0.000  0.262  0.933
Al  0.500  0.433  0.238
Al  0.500  0.567  0.762
Al  0.000  0.738  0.067
Al  0.500  0.238  0.433
Al  0.500  0.762  0.567
Al  0.000  0.933  0.262
Al  0.000  0.067  0.738

Values from the calculation:
energy of formation	-340	meV/atom
volume	16.8	Å³ per atom
symmetry	P4_2/mnm, No. 136

***

# 6
First-principles (SCAN) data for CoGeSbTe2 at its PBEsol-relaxed geometry, as listed in Alexandria via LeMat-Bulk.

a b c (Å): 5.157 5.282 5.282
angles (deg): 90.00 90.00 90.00
Positions (direct):
Sb  0.500  0.000  0.000
Ge  0.000  0.000  0.000
Te  0.000  0.000  0.500
Te  0.000  0.500  0.000
Co  0.500  0.500  0.500

Values from the calculation:
volume	28.8	Å³ per atom
ΔE_f (raw)	105	kJ per mole of atoms
symmetry	P4/mmm, No. 123

***

# 7
First-principles (SCAN) data for AlCuAs2 at its PBEsol-relaxed geometry, as listed in Alexandria via LeMat-Bulk.

a b c (Å): 2.995 2.995 7.172
angles (deg): 90.00 90.00 90.00
Positions (direct):
As  0.000  0.000  0.766
As  0.000  0.000  0.234
Al  0.500  0.500  0.500
Cu  0.500  0.500  0.000

Values from the calculation:
energy of formation	211	meV/atom
volume	16.1	Å³ per atom
symmetry	P4/mmm, No. 123

***

# 8
First-principles (SCAN) data for BaAlAs2 at its PBEsol-relaxed geometry, as listed in Alexandria via LeMat-Bulk.

a b c (Å): 4.304 4.722 4.722
angles (deg): 90.00 90.00 90.00
Positions (direct):
As  0.000  0.000  0.500
As  0.000  0.500  0.000
Ba  0.500  0.500  0.500
Al  0.500  0.000  0.000

Values from the calculation:
energy of formation	-185	meV/atom
volume	24.0	Å³ per atom
symmetry	P4/mmm, No. 123

***

# 9
First-principles (SCAN) data for SiAs2Ru at its PBEsol-relaxed geometry, as listed in Alexandria via LeMat-Bulk.

a b c (Å): 3.081 4.510 4.510
angles (deg): 104.73 90.00 90.00
Positions (direct):
As  0.000  0.500  0.000
As  0.000  0.000  0.500
Ru  0.500  0.000  0.000
Si  0.500  0.500  0.500

Values from the calculation:
volume	15.2	Å³ per atom
ΔE_f (raw)	35	kJ per mole of atoms
symmetry	Cmmm, No. 65

***

# 10
First-principles (SCAN) data for TcIr3 at its PBEsol-relaxed geometry, as listed in Alexandria via LeMat-Bulk.

a b c (Å): 2.724 2.724 8.726
angles (deg): 90.00 90.00 120.00
Positions (direct):
Ir  0.333  0.667  0.258
Ir  0.333  0.667  0.742
Ir  0.000  0.000  0.000
Tc  0.000  0.000  0.500

Values from the calculation:
energy of formation	-149	meV/atom
volume	14.0	Å³ per atom
symmetry	P-6m2, No. 187

***

# 11
First-principles (SCAN) data for Tl2Hg at its PBEsol-relaxed geometry, as listed in Alexandria via LeMat-Bulk.

a b c (Å): 3.520 8.899 8.899
angles (deg): 120.00 90.00 90.00
Positions (direct):
Hg  0.000  0.667  0.333
Hg  0.000  0.333  0.667
Hg  0.500  0.000  0.000
Tl  0.000  0.703  0.703
Tl  0.000  0.000  0.297
Tl  0.000  0.297  0.000
Tl  0.500  0.369  0.369
Tl  0.500  0.000  0.631
Tl  0.500  0.631  0.000

Values from the calculation:
energy of formation	-5	meV/atom
volume	26.8	Å³ per atom
symmetry	P-62m, No. 189

***

# 12
First-principles (SCAN) data for Re3Ir at its PBEsol-relaxed geometry, as listed in Alexandria via LeMat-Bulk.

a b c (Å): 4.373 4.773 5.514
angles (deg): 90.00 90.00 90.00
Positions (direct):
Ir  0.000  0.667  0.000
Ir  0.500  0.333  0.500
Re  0.500  0.327  0.000
Re  0.000  0.164  0.753
Re  0.500  0.836  0.747
Re  0.000  0.673  0.500
Re  0.000  0.164  0.247
Re  0.500  0.836  0.253

Values from the calculation:
energy of formation	-250	meV/atom
volume	14.4	Å³ per atom
symmetry	Pmmn, No. 59

***

# 13
First-principles (SCAN) data for Cd3CoNi at its PBEsol-relaxed geometry, as listed in Alexandria via LeMat-Bulk.

a b c (Å): 4.741 4.741 4.741
angles (deg): 90.00 90.00 90.00
Positions (direct):
Ni  0.000  0.000  0.000
Co  0.500  0.500  0.500
Cd  0.000  0.500  0.000
Cd  0.000  0.000  0.500
Cd  0.500  0.000  0.000

Values from the calculation:
energy of formation	799	meV/atom
volume	21.3	Å³ per atom
symmetry	Pm-3m, No. 221

***

# 14
First-principles (SCAN) data for Sc5Al at its PBEsol-relaxed geometry, as listed in Alexandria via LeMat-Bulk.

a b c (Å): 4.995 5.505 5.505
angles (deg): 120.00 90.00 90.00
Positions (direct):
Sc  0.000  0.315  0.315
Sc  0.000  0.685  0.000
Sc  0.000  0.000  0.685
Sc  0.500  0.333  0.667
Sc  0.500  0.667  0.333
Al  0.500  0.000  0.000

Values from the calculation:
energy of formation	-111	meV/atom
volume	21.8	Å³ per atom
symmetry	P-62m, No. 189

***

# 15
First-principles (SCAN) data for ErZnRh2 at its PBEsol-relaxed geometry, as listed in Alexandria via LeMat-Bulk.

a b c (Å): 4.455 4.455 4.455
angles (deg): 60.00 60.00 60.00
Positions (direct):
Zn  0.000  0.000  0.000
Rh  0.750  0.750  0.750
Rh  0.250  0.250  0.250
Er  0.500  0.500  0.500

Values from the calculation:
energy of formation	-767	meV/atom
volume	15.6	Å³ per atom
symmetry	Fm-3m, No. 225

***

# 16
First-principles (SCAN) data for FeMoRu2 at its PBEsol-relaxed geometry, as listed in Alexandria via LeMat-Bulk.

a b c (Å): 3.724 3.724 4.595
angles (deg): 113.90 113.90 90.00
Positions (direct):
Fe  0.500  0.500  0.000
Mo  0.250  0.750  0.500
Ru  0.000  0.000  0.000
Ru  0.750  0.250  0.500

Values from the calculation:
energy of formation	95	meV/atom
volume	13.1	Å³ per atom
symmetry	I-4m2, No. 119

***

# 17
First-principles (SCAN) data for LuPaTc2 at its PBEsol-relaxed geometry, as listed in Alexandria via LeMat-Bulk.

a b c (Å): 4.732 4.732 4.732
angles (deg): 60.00 60.00 60.00
Positions (direct):
Pa  0.000  0.000  0.000
Lu  0.500  0.500  0.500
Tc  0.250  0.250  0.250
Tc  0.750  0.750  0.750

Values from the calculation:
energy of formation	-304	meV/atom
volume	18.7	Å³ per atom
symmetry	Fm-3m, No. 225

***

# 18
First-principles (SCAN) data for LiSiRu at its PBEsol-relaxed geometry, as listed in Alexandria via LeMat-Bulk.

a b c (Å): 3.056 3.056 4.400
angles (deg): 110.32 110.32 90.00
Positions (direct):
Ru  0.673  0.673  0.346
Si  0.325  0.325  0.651
Li  0.002  0.002  0.003

Values from the calculation:
volume	11.9	Å³ per atom
ΔE_f (raw)	-39	kJ per mole of atoms
symmetry	I4mm, No. 107

***

# 19
First-principles (SCAN) data for Na5MnO4 at its PBEsol-relaxed geometry, as listed in Alexandria via LeMat-Bulk.

a b c (Å): 5.782 5.986 7.736
angles (deg): 90.00 90.00 90.00
Positions (direct):
Na  0.760  0.319  0.500
Na  0.260  0.681  0.000
Na  0.254  0.394  0.302
Na  0.754  0.606  0.802
Na  0.254  0.394  0.698
Na  0.754  0.606  0.198
Na  0.564  0.071  0.822
Na  0.564  0.071  0.178
Na  0.064  0.929  0.322
Na  0.064  0.929  0.678
Mn  0.505  0.826  0.500
Mn  0.005  0.174  0.000
O  0.384  0.121  0.500
O  0.884  0.879  0.000
O  0.808  0.713  0.500
O  0.308  0.287  0.000
O  0.407  0.743  0.276
O  0.907  0.257  0.224
O  0.907  0.257  0.776
O  0.407  0.743  0.724

Values from the calculation:
volume	13.4	Å³ per atom
ΔE_f (raw)	-162	kJ per mole of atoms
symmetry	Pmn2_1, No. 31

***

# 20
First-principles (SCAN) data for BeFeIr2 at its PBEsol-relaxed geometry, as listed in Alexandria via LeMat-Bulk.

a b c (Å): 2.769 4.029 4.478
angles (deg): 90.00 90.00 90.00
Positions (direct):
Be  0.500  0.500  0.000
Ir  0.000  0.000  0.000
Ir  0.500  0.000  0.500
Fe  0.000  0.500  0.500

Values from the calculation:
energy of formation	-145	meV/atom
volume	12.5	Å³ per atom
symmetry	Pmmm, No. 47